# 1
First-principles (GGA-PBE) data for crystalline PmPrY2 at its relaxed geometry, as listed in Alexandria via LeMat-Bulk.

Cell and atoms, written as CIF:
```
data_PmPrY2
_cell_length_a 3.6324
_cell_length_b 3.6324
_cell_length_c 35.2305
_cell_angle_alpha 90.00
_cell_angle_beta 90.00
_cell_angle_gamma 120.00
_space_group_name_H-M_alt 'R -3 m'
_space_group_IT_number 166
_space_group_name_Hall '-R 3 2"'
loop_
_atom_site_label
_atom_site_fract_x
_atom_site_fract_y
_atom_site_fract_z
_atom_site_occupancy
Pm1 0.0000 0.0000 0.0000 1
Pr1 0.0000 0.0000 0.5000 1
Y1 0.0000 0.0000 0.2505 1
```

Values from the calculation:
calculated total energy: -67.26 eV/cell

# 2
First-principles (GGA-PBE) data for crystalline LiZrAg2 at its relaxed geometry, as listed in Alexandria via LeMat-Bulk.

Cell and atoms, written as CIF:
```
data_LiZrAg2
_cell_length_a 3.539
_cell_length_b 4.548
_cell_length_c 9.387
_cell_angle_alpha 90.00
_cell_angle_beta 90.00
_cell_angle_gamma 90.00
_space_group_name_H-M_alt 'C m m 2'
_space_group_IT_number 35
loop_
_space_group_symop_operation_xyz
'x,y,z'
'-x,-y,z'
'-x,y,z'
'x,-y,z'
'x+1/2,y+1/2,z'
'-x+1/2,-y+1/2,z'
'-x+1/2,y+1/2,z'
'x+1/2,-y+1/2,z'
loop_
_atom_site_label
_atom_site_fract_x
_atom_site_fract_y
_atom_site_fract_z
_atom_site_occupancy
Li1 0.000 0.000 0.000 1
Zr1 0.000 0.500 0.719 1
Ag1 0.000 0.000 0.462 1
Ag2 0.000 0.500 0.219 1
```

Values from the calculation:
calculated total energy: -32.11 eV/cell

# 3
First-principles (GGA-PBE) data for crystalline LiBe4 at its relaxed geometry, as listed in Alexandria via LeMat-Bulk.

Cell and atoms, written as CIF:
```
data_LiBe4
_cell_length_a 4.900
_cell_length_b 4.900
_cell_length_c 4.900
_cell_angle_alpha 90.00
_cell_angle_beta 90.00
_cell_angle_gamma 90.00
_space_group_name_H-M_alt 'I m -3 m'
_space_group_IT_number 229
_space_group_name_Hall '-I 4 2 3'
loop_
_atom_site_label
_atom_site_fract_x
_atom_site_fract_y
_atom_site_fract_z
_atom_site_occupancy
Li1 0.000 0.000 0.000 1
Be1 0.250 0.250 0.250 1
```

Values from the calculation:
calculated total energy: -23.12 eV/cell

# 4
First-principles (GGA-PBE) data for crystalline Ce2ThTe5 at its relaxed geometry, as listed in Alexandria via LeMat-Bulk.

Cell and atoms, written as CIF:
```
data_Ce2ThTe5
_cell_length_a 8.801
_cell_length_b 13.729
_cell_length_c 4.487
_cell_angle_alpha 90.00
_cell_angle_beta 90.00
_cell_angle_gamma 90.00
_space_group_name_H-M_alt 'P b a m'
_space_group_IT_number 55
loop_
_space_group_symop_operation_xyz
'x,y,z'
'-x,-y,-z'
'-x,-y,z'
'x,y,-z'
'x+1/2,-y+1/2,-z'
'-x+1/2,y+1/2,z'
'-x+1/2,y+1/2,-z'
'x+1/2,-y+1/2,z'
loop_
_atom_site_label
_atom_site_fract_x
_atom_site_fract_y
_atom_site_fract_z
_atom_site_occupancy
Ce1 0.032 0.175 0.000 1
Th1 0.000 0.500 0.500 1
Te1 0.000 0.000 0.500 1
Te2 0.177 0.395 0.000 1
Te3 0.179 0.699 0.500 1
```

Values from the calculation:
E_form (uncorrected): -1.231 eV/atom

# 5
First-principles (GGA-PBE) data for crystalline AlZn12Cu7 at its relaxed geometry, as listed in Alexandria via LeMat-Bulk.

Cell and atoms, written as CIF:
```
data_AlZn12Cu7
_cell_length_a 11.0441
_cell_length_b 11.0441
_cell_length_c 7.9908
_cell_angle_alpha 90.00
_cell_angle_beta 90.00
_cell_angle_gamma 120.00
_space_group_name_H-M_alt 'R -3'
_space_group_IT_number 148
_space_group_name_Hall '-R 3'
loop_
_atom_site_label
_atom_site_fract_x
_atom_site_fract_y
_atom_site_fract_z
_atom_site_occupancy
Al1 0.0000 0.0000 0.0000 1
Zn1 0.0517 0.8441 0.2449 1
Zn2 0.0550 0.8109 0.5832 1
Cu1 0.0000 0.0000 0.5000 1
Cu2 0.0643 0.8209 0.9203 1
```

Values from the calculation:
calculated total energy: -146.26 eV/cell

# 6
First-principles (GGA-PBE) data for crystalline DyY15Tm4 at its relaxed geometry, as listed in Alexandria via LeMat-Bulk.

Cell and atoms, written as CIF:
```
data_DyY15Tm4
_cell_length_a 5.023
_cell_length_b 5.023
_cell_length_c 25.133
_cell_angle_alpha 90.00
_cell_angle_beta 90.00
_cell_angle_gamma 90.00
_space_group_name_H-M_alt 'P 4/m m m'
_space_group_IT_number 123
_space_group_name_Hall '-P 4 2'
loop_
_atom_site_label
_atom_site_fract_x
_atom_site_fract_y
_atom_site_fract_z
_atom_site_occupancy
Dy1 0.000 0.000 0.000 1
Y1 0.000 0.500 0.100 1
Y2 0.000 0.500 0.300 1
Y3 0.000 0.500 0.500 1
Y4 0.500 0.500 0.000 1
Y5 0.500 0.500 0.200 1
Y6 0.500 0.500 0.400 1
Tm1 0.000 0.000 0.200 1
Tm2 0.000 0.000 0.400 1
```

Values from the calculation:
calculated total energy: -118.92 eV/cell

# 7
First-principles (GGA-PBE) data for crystalline ZnIn3Rh at its relaxed geometry, as listed in Alexandria via LeMat-Bulk.

Cell and atoms, written as CIF:
```
data_ZnIn3Rh
_cell_length_a 5.002
_cell_length_b 5.002
_cell_length_c 5.002
_cell_angle_alpha 90.00
_cell_angle_beta 90.00
_cell_angle_gamma 90.00
_space_group_name_H-M_alt 'P m -3 m'
_space_group_IT_number 221
_space_group_name_Hall '-P 4 2 3'
loop_
_atom_site_label
_atom_site_fract_x
_atom_site_fract_y
_atom_site_fract_z
_atom_site_occupancy
Zn1 0.000 0.000 0.000 1
In1 0.000 0.000 0.500 1
Rh1 0.500 0.500 0.500 1
```

Values from the calculation:
calculated total energy: -13.28 eV/cell

# 8
First-principles (GGA-PBE) data for crystalline Pr3Mg2Ag4 at its relaxed geometry, as listed in Alexandria via LeMat-Bulk.

Cell and atoms, written as CIF:
```
data_Pr3Mg2Ag4
_cell_length_a 11.136
_cell_length_b 4.953
_cell_length_c 9.248
_cell_angle_alpha 90.00
_cell_angle_beta 119.46
_cell_angle_gamma 90.00
_space_group_name_H-M_alt 'C 1 2/m 1'
_space_group_IT_number 12
loop_
_space_group_symop_operation_xyz
'x,y,z'
'-x,-y,-z'
'-x,y,-z'
'x,-y,z'
'x+1/2,y+1/2,z'
'-x+1/2,-y+1/2,-z'
'-x+1/2,y+1/2,-z'
'x+1/2,-y+1/2,z'
loop_
_atom_site_label
_atom_site_fract_x
_atom_site_fract_y
_atom_site_fract_z
_atom_site_occupancy
Pr1 0.000 0.000 0.000 1
Pr2 0.153 0.500 0.685 1
Mg1 0.146 0.500 0.314 1
Ag1 0.069 0.000 0.398 1
Ag2 0.223 0.500 0.063 1
```

Values from the calculation:
calculated total energy: -62.16 eV/cell